1.
PmTlAg | PBE | optimized geometry

Computed properties:
Fermi-level density of states, states/eV/cell: 2.09
Density, g/cm3: 10.0
V, Å³/cell: 75.9
Energy relative to the elements, kJ/mol of atoms: -30
Offset from the most stable computed form, kJ/mol of formula units: 0

abc: 5.0126 5.0126 3.4875
angles: 90.00 90.00 120.00
Space group P-6m2 (No. 187)
Inequivalent atoms, fractional coordinates:
1 Pm 0.0000 0.0000 0.0000 [1 per cell]
2 Tl 0.6667 0.3333 0.5000 [1 per cell]
3 Ag 0.3333 0.6667 0.5000 [1 per cell]


2.
TbDyErAl | PBE | optimized geometry

Computed properties:
Fermi-level density of states, states/eV/cell: 24.63
Density, g/cm3: 8.0
V, Å³/cell: 429.3
Energy relative to the elements, kJ/mol of atoms: -6
Offset from the most stable computed form, kJ/mol of formula units: 49

abc: 7.544 7.544 7.544
angles: 90.00 90.00 90.00
Space group F-43m (No. 216)
Inequivalent atoms, fractional coordinates:
1 Tb 0.000 0.000 0.000 [4 per cell]
2 Dy 0.000 0.000 0.500 [4 per cell]
3 Er 0.250 0.250 0.750 [4 per cell]
4 Al 0.250 0.250 0.250 [4 per cell]


3.
ZrTaW2Br | PBE | optimized geometry

Computed properties:
Fermi-level density of states, states/eV/cell: 6.66
Density, g/cm3: 10.2
V, Å³/cell: 117.7
ΔE_f (raw), eV per atom: 2.390

abc: 4.899 4.899 4.907
angles: 90.00 90.00 90.00
Space group P4/mmm (No. 123)
Inequivalent atoms, fractional coordinates:
1 Zr 0.000 0.000 0.000 [1 per cell]
2 Ta 0.500 0.500 0.500 [1 per cell]
3 W 0.000 0.500 0.000 [2 per cell]
4 Br 0.000 0.000 0.500 [1 per cell]


4.
SiBrF3 | PBE | optimized geometry

Computed properties:
Fermi-level density of states, states/eV/cell: 5.38
Density, g/cm3: 4.1
V, Å³/cell: 66.6
ΔE_f (raw), eV per atom: -1.218
Offset from the most stable computed form, kJ/mol of formula units: 637

abc: 4.054 4.054 4.054
angles: 90.00 90.00 90.00
Space group Pm-3m (No. 221)
Inequivalent atoms, fractional coordinates:
1 Si 0.000 0.000 0.000 [1 per cell]
2 Br 0.500 0.500 0.500 [1 per cell]
3 F 0.000 0.000 0.500 [3 per cell]


5.
UMnAlFe | PBE | optimized geometry

Computed properties:
Fermi-level density of states, states/eV/cell: 25.52
Density, g/cm3: 10.5
V, Å³/cell: 236.7
Energy relative to the elements, kJ/mol of atoms: -8

abc: 6.186 6.186 6.186
angles: 90.00 90.00 90.00
Space group F-43m (No. 216)
Inequivalent atoms, fractional coordinates:
1 U 0.000 0.000 0.000 [4 per cell]
2 Mn 0.250 0.250 0.750 [4 per cell]
3 Al 0.000 0.000 0.500 [4 per cell]
4 Fe 0.250 0.250 0.250 [4 per cell]


6.
LaCd4Ga | PBE | optimized geometry

Computed properties:
Fermi-level density of states, states/eV/cell: 7.50
Density, g/cm3: 7.6
V, Å³/cell: 575.6
Energy relative to the elements, kJ/mol of atoms: -27

abc: 4.560 17.052 7.404
angles: 90.00 90.00 90.00
Space group Cmcm (No. 63)
Inequivalent atoms, fractional coordinates:
1 La 0.000 0.128 0.250 [4 per cell]
2 Cd 0.000 0.066 0.750 [4 per cell]
3 Cd 0.000 0.325 0.054 [8 per cell]
4 Cd 0.000 0.500 0.000 [4 per cell]
5 Ga 0.000 0.232 0.750 [4 per cell]